Computed, not measured: a relaxed structure of Nd6Ir3Pd at the GGA-PBE level of DFT.

* space-group type: No. 36
* total energy: -6.581 eV per atom
* V: 28.52 Å³/atom
* density of states at the Fermi level: 0.65 states/eV/atom

a b c (Å): 9.067 9.067 7.167
angles (deg): 90.00 90.00 104.54
Sites, in units of the cell vectors:
Nd 0.009 0.991 0.500
Nd 0.104 0.555 0.443
Nd 0.235 0.765 0.867
Nd 0.302 0.359 0.904
Nd 0.359 0.302 0.404
Nd 0.445 0.896 0.443
Nd 0.555 0.104 0.943
Nd 0.641 0.698 0.904
Nd 0.698 0.641 0.404
Nd 0.765 0.235 0.367
Nd 0.896 0.445 0.943
Nd 0.991 0.009 0.000
Ir 0.069 0.292 0.207
Ir 0.292 0.069 0.707
Ir 0.400 0.600 0.623
Ir 0.600 0.400 0.123
Ir 0.708 0.931 0.207
Ir 0.931 0.708 0.707
Pd 0.160 0.840 0.236
Pd 0.840 0.160 0.736